No. 1
LaPaSn2: relaxed, PBE.

Calculated values
DFT total energy   -5.98 eV per atom

POSCAR file:
```
LaPaSn2
1.0
4.993 0.000 0.000
0.000 4.993 0.000
0.000 0.000 4.445
La Pa Sn
1 1 2
direct
0.000 0.000 0.000
0.500 0.500 0.000
0.000 0.500 0.500
0.500 0.000 0.500
```

No. 2
Ti6BeC3: relaxed, PBE.

Calculated values
DFT total energy   -8.40 eV per atom

POSCAR file:
```
Ti6BeC3
1.0
9.370 0.000 0.000
0.000 3.128 0.000
-4.159 0.000 8.575
Ti Be C
12 2 6
direct
0.048 0.250 0.397
0.098 0.750 0.932
0.236 0.750 0.270
0.245 0.250 0.785
0.425 0.250 0.571
0.451 0.250 0.116
0.549 0.750 0.884
0.575 0.750 0.429
0.755 0.750 0.215
0.764 0.250 0.730
0.902 0.250 0.068
0.952 0.750 0.603
0.233 0.750 0.584
0.767 0.250 0.416
0.012 0.250 0.769
0.340 0.750 0.954
0.405 0.250 0.336
0.595 0.750 0.664
0.660 0.250 0.046
0.988 0.750 0.231
```

No. 3
ScTc3N: relaxed, PBE.

Calculated values
Formation energy without anion corrections   3.052 eV per atom
DFT total energy   -6.10 eV per atom

POSCAR file:
```
ScTc3N
1.0
4.597 0.000 0.000
0.000 4.597 0.000
0.000 0.000 4.597
Sc Tc N
1 3 1
direct
0.000 0.000 0.000
0.000 0.000 0.500
0.000 0.500 0.000
0.500 0.000 0.000
0.500 0.500 0.500
```